Record 1
# CaVOsO6

CaVOsO6 after structural relaxation (PBE+U, Alexandria via LeMat-Bulk).

Total magnetization, μB/atom: 0.33

Unit cell a=5.1529 b=5.1529 c=10.0641 alpha=90.00 beta=90.00 gamma=120.00
Positions (direct):
Ca (0.0000, 0.0000, 0.0000)
Ca (0.0000, 0.0000, 0.5000)
V (0.3333, 0.6667, 0.2500)
V (0.6667, 0.3333, 0.7500)
Os (0.3333, 0.6667, 0.7500)
Os (0.6667, 0.3333, 0.2500)
O (0.0051, 0.3749, 0.1448)
O (0.0051, 0.6302, 0.3552)
O (0.3698, 0.3749, 0.3552)
O (0.3698, 0.9949, 0.1448)
O (0.3749, 0.0051, 0.6448)
O (0.3749, 0.3698, 0.8552)
O (0.6251, 0.6302, 0.1448)
O (0.6251, 0.9949, 0.3552)
O (0.6302, 0.0051, 0.8552)
O (0.6302, 0.6251, 0.6448)
O (0.9949, 0.3698, 0.6448)
O (0.9949, 0.6251, 0.8552)


Record 2
# Ca2OsWO

Ca2OsWO after structural relaxation (PBE+U, Alexandria via LeMat-Bulk).

Total magnetization, μB/atom: 0.61

Unit cell a=5.8784 b=5.8784 c=4.6994 alpha=90.00 beta=90.00 gamma=90.00
Positions (direct):
Ca (0.0000, 0.5000, 0.0000)
Ca (0.5000, 0.0000, 0.0000)
Os (0.0000, 0.0000, 0.5000)
W (0.0000, 0.0000, 0.0000)
O (0.5000, 0.5000, 0.5000)


Record 3
# CaOsWO6

CaOsWO6 after structural relaxation (PBE+U, Alexandria via LeMat-Bulk).

Total magnetization, μB/atom: 0.23

Unit cell a=4.8709 b=4.8709 c=9.5339 alpha=90.00 beta=90.00 gamma=90.00
Positions (direct):
Ca (0.0000, 0.0000, 0.0000)
Ca (0.5000, 0.5000, 0.5000)
Os (0.0000, 0.0000, 0.3267)
Os (0.5000, 0.5000, 0.8267)
W (0.0000, 0.0000, 0.6670)
W (0.5000, 0.5000, 0.1670)
O (0.1716, 0.1716, 0.4982)
O (0.2114, 0.2114, 0.8033)
O (0.2158, 0.2158, 0.1845)
O (0.2842, 0.7158, 0.6845)
O (0.2886, 0.7114, 0.3033)
O (0.3284, 0.6716, 0.9982)
O (0.6716, 0.3284, 0.9982)
O (0.7114, 0.2886, 0.3033)
O (0.7158, 0.2842, 0.6845)
O (0.7842, 0.7842, 0.1845)
O (0.7886, 0.7886, 0.8033)
O (0.8284, 0.8284, 0.4982)


no.,VASP energy (eV per atom),ρ (kg/m³)
1,-7.403,5414
2,-4.123,4808
3,-7.397,7490